--- A ---
# AgGe2Te2

Crystalline AgGe2Te2 at its relaxed geometry (PBE-GGA, Alexandria via LeMat-Bulk).

Summary:
The calculation puts the volume at 24.6 A^3/atom.

Cell lengths 8.5900, 8.5900, 8.5900 Å; angles 153.82, 153.82, 37.36 degrees
Atoms (fractional coordinates):
Ag 0.0000 0.0000 0.0000
Ge 0.2500 0.7500 0.5000
Ge 0.7500 0.2500 0.5000
Te 0.4022 0.4022 0.0000
Te 0.5978 0.5978 0.0000



--- B ---
# AgGe2Te2

Crystalline AgGe2Te2 at its relaxed geometry (PBE-GGA, Alexandria via LeMat-Bulk).

Summary:
The calculation puts the volume at 25.9 A^3/atom.

Cell lengths 5.6899, 5.6899, 5.6899 Å; angles 120.33, 120.33, 89.42 degrees
Atoms (fractional coordinates):
Ag 0.0000 0.0000 0.0000
Ge 0.3366 0.3366 0.0000
Ge 0.6634 0.6634 0.0000
Te 0.2500 0.7500 0.5000
Te 0.7500 0.2500 0.5000



Which structure is the most stable? The one labeled B.